1.
# Ba2AlAg | Alexandria | PBE-GGA | relaxed
data_Ba2AlAg
_chemical_formula_sum 'Ba2 Al1 Ag1'
_cell_length_a 9.3112
_cell_length_b 5.9408
_cell_length_c 4.0333
_cell_angle_alpha 90.03
_cell_angle_beta 64.29
_cell_angle_gamma 129.53
_symmetry_space_group_name_H-M 'P 1'
_symmetry_Int_Tables_number 1
loop_
_symmetry_equiv_pos_as_xyz
'x,y,z'
loop_
_atom_site_label
_atom_site_type_symbol
_atom_site_fract_x
_atom_site_fract_y
_atom_site_fract_z
_atom_site_occupancy
Ba1 Ba 0.0000 0.0000 0.0000 1
Ba2 Ba 0.5000 0.0000 0.5000 1
Ag1 Ag 0.0000 0.5000 0.5000 1
Al1 Al 0.5000 0.5000 0.0000 1
# energy of formation = -128 meV per atom
# electronic total energy = -2.738 eV per atom



2.
# Pu2Zn3Cd | Alexandria | PBE-GGA | relaxed
data_Pu2Zn3Cd
_chemical_formula_sum 'Pu4 Zn6 Cd2'
_cell_length_a 5.6446
_cell_length_b 5.6446
_cell_length_c 8.8858
_cell_angle_alpha 90.00
_cell_angle_beta 90.00
_cell_angle_gamma 120.00
_symmetry_space_group_name_H-M 'P 1'
_symmetry_Int_Tables_number 1
loop_
_symmetry_equiv_pos_as_xyz
'x,y,z'
loop_
_atom_site_label
_atom_site_type_symbol
_atom_site_fract_x
_atom_site_fract_y
_atom_site_fract_z
_atom_site_occupancy
Pu1 Pu 0.6667 0.3333 0.4348 1
Pu2 Pu 0.3333 0.6667 0.5652 1
Pu3 Pu 0.3333 0.6667 0.9348 1
Pu4 Pu 0.6667 0.3333 0.0652 1
Zn1 Zn 0.1735 0.3469 0.2500 1
Zn2 Zn 0.3469 0.1735 0.7500 1
Zn3 Zn 0.8265 0.6531 0.7500 1
Zn4 Zn 0.1735 0.8265 0.2500 1
Zn5 Zn 0.8265 0.1735 0.7500 1
Zn6 Zn 0.6531 0.8265 0.2500 1
Cd1 Cd 0.0000 0.0000 0.5000 1
Cd2 Cd 0.0000 0.0000 0.0000 1
# energy of formation = -114 meV per atom
# electronic total energy = -5.681 eV per atom



3.
# Mn2NbCuP | Alexandria | PBE-GGA | relaxed
data_Mn2NbCuP
_chemical_formula_sum 'Mn2 Nb1 Cu1 P1'
_cell_length_a 4.6112
_cell_length_b 4.7666
_cell_length_c 4.6112
_cell_angle_alpha 90.00
_cell_angle_beta 90.00
_cell_angle_gamma 90.00
_symmetry_space_group_name_H-M 'P 1'
_symmetry_Int_Tables_number 1
loop_
_symmetry_equiv_pos_as_xyz
'x,y,z'
loop_
_atom_site_label
_atom_site_type_symbol
_atom_site_fract_x
_atom_site_fract_y
_atom_site_fract_z
_atom_site_occupancy
P1 P 0.5000 0.5000 0.5000 1
Nb1 Nb 0.0000 0.0000 0.0000 1
Mn1 Mn 0.0000 0.0000 0.5000 1
Mn2 Mn 0.5000 0.0000 0.0000 1
Cu1 Cu 0.0000 0.5000 0.0000 1
# energy of formation = 1566 meV per atom
# electronic total energy = -6.017 eV per atom



4.
# RbBiN2F | Alexandria | PBE-GGA | relaxed
data_RbBiN2F
_chemical_formula_sum 'Rb1 Bi1 N2 F1'
_cell_length_a 4.4094
_cell_length_b 4.4094
_cell_length_c 4.8730
_cell_angle_alpha 90.00
_cell_angle_beta 90.00
_cell_angle_gamma 90.00
_symmetry_space_group_name_H-M 'P 1'
_symmetry_Int_Tables_number 1
loop_
_symmetry_equiv_pos_as_xyz
'x,y,z'
loop_
_atom_site_label
_atom_site_type_symbol
_atom_site_fract_x
_atom_site_fract_y
_atom_site_fract_z
_atom_site_occupancy
N1 N 0.0000 0.5000 0.0000 1
N2 N 0.5000 0.0000 0.0000 1
Bi1 Bi 0.0000 0.0000 0.0000 1
Rb1 Rb 0.5000 0.5000 0.5000 1
F1 F 0.0000 0.0000 0.5000 1
# electronic total energy = -4.502 eV per atom
# ΔE_f (raw) = 0.172 eV/atom



5.
# Ho2CdTe | Alexandria | PBE-GGA | relaxed
data_Ho2CdTe
_chemical_formula_sum 'Ho2 Cd1 Te1'
_cell_length_a 3.8661
_cell_length_b 3.8661
_cell_length_c 7.0189
_cell_angle_alpha 90.00
_cell_angle_beta 90.00
_cell_angle_gamma 90.00
_symmetry_space_group_name_H-M 'P 1'
_symmetry_Int_Tables_number 1
loop_
_symmetry_equiv_pos_as_xyz
'x,y,z'
loop_
_atom_site_label
_atom_site_type_symbol
_atom_site_fract_x
_atom_site_fract_y
_atom_site_fract_z
_atom_site_occupancy
Te1 Te 0.5000 0.5000 0.5000 1
Ho1 Ho 0.0000 0.0000 0.7495 1
Ho2 Ho 0.0000 0.0000 0.2505 1
Cd1 Cd 0.5000 0.5000 0.0000 1
# electronic total energy = -3.953 eV per atom
# ΔE_f (raw) = -0.650 eV/atom



6.
# Zn2TcPd | Alexandria | PBE-GGA | relaxed
data_Zn2TcPd
_chemical_formula_sum 'Zn4 Tc2 Pd2'
_cell_length_a 6.8761
_cell_length_b 6.8761
_cell_length_c 5.5662
_cell_angle_alpha 51.85
_cell_angle_beta 51.85
_cell_angle_gamma 90.00
_symmetry_space_group_name_H-M 'P 1'
_symmetry_Int_Tables_number 1
loop_
_symmetry_equiv_pos_as_xyz
'x,y,z'
loop_
_atom_site_label
_atom_site_type_symbol
_atom_site_fract_x
_atom_site_fract_y
_atom_site_fract_z
_atom_site_occupancy
Zn1 Zn 0.6307 0.1250 0.2500 1
Zn2 Zn 0.1193 0.6250 0.2500 1
Zn3 Zn 0.3750 0.3693 0.7500 1
Zn4 Zn 0.8750 0.8807 0.7500 1
Tc1 Tc 0.5000 0.5000 0.0000 1
Tc2 Tc 0.2500 0.7500 0.5000 1
Pd1 Pd 0.0000 0.0000 0.0000 1
Pd2 Pd 0.7500 0.2500 0.5000 1
# energy of formation = 365 meV per atom
# electronic total energy = -4.162 eV per atom



7.
# PuUTcGe | Alexandria | PBE-GGA | relaxed
data_PuUTcGe
_chemical_formula_sum 'Pu1 U1 Tc1 Ge1'
_cell_length_a 4.7345
_cell_length_b 4.7345
_cell_length_c 4.7345
_cell_angle_alpha 60.00
_cell_angle_beta 60.00
_cell_angle_gamma 60.00
_symmetry_space_group_name_H-M 'P 1'
_symmetry_Int_Tables_number 1
loop_
_symmetry_equiv_pos_as_xyz
'x,y,z'
loop_
_atom_site_label
_atom_site_type_symbol
_atom_site_fract_x
_atom_site_fract_y
_atom_site_fract_z
_atom_site_occupancy
Ge1 Ge 0.2500 0.2500 0.2500 1
U1 U 0.7500 0.7500 0.7500 1
Tc1 Tc 0.0000 0.0000 0.0000 1
Pu1 Pu 0.5000 0.5000 0.5000 1
# energy of formation = -148 meV per atom
# electronic total energy = -10.299 eV per atom



8.
# Pm3PO | Alexandria | PBE-GGA | relaxed
data_Pm3PO
_chemical_formula_sum 'Pm3 P1 O1'
_cell_length_a 4.7809
_cell_length_b 4.7809
_cell_length_c 4.7809
_cell_angle_alpha 90.00
_cell_angle_beta 90.00
_cell_angle_gamma 90.00
_symmetry_space_group_name_H-M 'P 1'
_symmetry_Int_Tables_number 1
loop_
_symmetry_equiv_pos_as_xyz
'x,y,z'
loop_
_atom_site_label
_atom_site_type_symbol
_atom_site_fract_x
_atom_site_fract_y
_atom_site_fract_z
_atom_site_occupancy
P1 P 0.5000 0.5000 0.5000 1
O1 O 0.0000 0.0000 0.0000 1
Pm1 Pm 0.0000 0.5000 0.0000 1
Pm2 Pm 0.0000 0.0000 0.5000 1
Pm3 Pm 0.5000 0.0000 0.0000 1
# electronic total energy = -6.257 eV per atom
# ΔE_f (raw) = -1.333 eV/atom



9.
# Ba2OsSeCl | Alexandria | PBE-GGA | relaxed
data_Ba2OsSeCl
_chemical_formula_sum 'Ba2 Os1 Se1 Cl1'
_cell_length_a 6.1766
_cell_length_b 4.6495
_cell_length_c 6.1766
_cell_angle_alpha 90.00
_cell_angle_beta 90.00
_cell_angle_gamma 90.00
_symmetry_space_group_name_H-M 'P 1'
_symmetry_Int_Tables_number 1
loop_
_symmetry_equiv_pos_as_xyz
'x,y,z'
loop_
_atom_site_label
_atom_site_type_symbol
_atom_site_fract_x
_atom_site_fract_y
_atom_site_fract_z
_atom_site_occupancy
Os1 Os 0.0000 0.0000 0.0000 1
Ba1 Ba 0.0000 0.0000 0.5000 1
Ba2 Ba 0.5000 0.0000 0.0000 1
Se1 Se 0.0000 0.5000 0.0000 1
Cl1 Cl 0.5000 0.5000 0.5000 1
# electronic total energy = -4.830 eV per atom
# ΔE_f (raw) = -0.749 eV/atom



10.
# BaHfF6 | Alexandria | PBE-GGA | relaxed
data_BaHfF6
_chemical_formula_sum 'Ba2 Hf2 F12'
_cell_length_a 6.8939
_cell_length_b 6.8939
_cell_length_c 5.5890
_cell_angle_alpha 90.00
_cell_angle_beta 90.00
_cell_angle_gamma 112.30
_symmetry_space_group_name_H-M 'P 1'
_symmetry_Int_Tables_number 1
loop_
_symmetry_equiv_pos_as_xyz
'x,y,z'
loop_
_atom_site_label
_atom_site_type_symbol
_atom_site_fract_x
_atom_site_fract_y
_atom_site_fract_z
_atom_site_occupancy
Ba1 Ba 0.2500 0.7500 0.4433 1
Ba2 Ba 0.7500 0.2500 0.5567 1
Hf1 Hf 0.7500 0.7500 0.0000 1
Hf2 Hf 0.2500 0.2500 0.0000 1
F1 F 0.6825 0.9305 0.2483 1
F2 F 0.3175 0.0695 0.7517 1
F3 F 0.8175 0.5695 0.2483 1
F4 F 0.5695 0.8175 0.7517 1
F5 F 0.1825 0.4305 0.7517 1
F6 F 0.4305 0.1825 0.2483 1
F7 F 0.9305 0.6825 0.7517 1
F8 F 0.0695 0.3175 0.2483 1
F9 F 0.4300 0.5700 0.1476 1
F10 F 0.5700 0.4300 0.8524 1
F11 F 0.0700 0.9300 0.1476 1
F12 F 0.9300 0.0700 0.8524 1
# electronic total energy = -6.782 eV per atom
# ΔE_f (raw) = -3.894 eV/atom



11.
# MgIn3Ga3 | Alexandria | PBE-GGA | relaxed
data_MgIn3Ga3
_chemical_formula_sum 'Mg2 In6 Ga6'
_cell_length_a 7.0061
_cell_length_b 7.0061
_cell_length_c 7.0061
_cell_angle_alpha 75.78
_cell_angle_beta 75.78
_cell_angle_gamma 75.78
_symmetry_space_group_name_H-M 'P 1'
_symmetry_Int_Tables_number 1
loop_
_symmetry_equiv_pos_as_xyz
'x,y,z'
loop_
_atom_site_label
_atom_site_type_symbol
_atom_site_fract_x
_atom_site_fract_y
_atom_site_fract_z
_atom_site_occupancy
Mg1 Mg 0.2446 0.2446 0.2446 1
Mg2 Mg 0.7554 0.7554 0.7554 1
In1 In 0.6197 0.4480 0.1733 1
In2 In 0.1733 0.6197 0.4480 1
In3 In 0.4480 0.1733 0.6197 1
In4 In 0.5520 0.8267 0.3803 1
In5 In 0.8267 0.3803 0.5520 1
In6 In 0.3803 0.5520 0.8267 1
Ga1 Ga 0.6878 0.0898 0.9699 1
Ga2 Ga 0.0898 0.9699 0.6878 1
Ga3 Ga 0.9699 0.6878 0.0898 1
Ga4 Ga 0.0301 0.3122 0.9102 1
Ga5 Ga 0.9102 0.0301 0.3122 1
Ga6 Ga 0.3122 0.9102 0.0301 1
# energy of formation = -5 meV per atom
# electronic total energy = -2.703 eV per atom



12.
# CaCd4Pb7 | Alexandria | PBE-GGA | relaxed
data_CaCd4Pb7
_chemical_formula_sum 'Ca1 Cd4 Pb7'
_cell_length_a 5.8698
_cell_length_b 9.6153
_cell_length_c 7.5621
_cell_angle_alpha 80.36
_cell_angle_beta 67.16
_cell_angle_gamma 72.23
_symmetry_space_group_name_H-M 'P 1'
_symmetry_Int_Tables_number 1
loop_
_symmetry_equiv_pos_as_xyz
'x,y,z'
loop_
_atom_site_label
_atom_site_type_symbol
_atom_site_fract_x
_atom_site_fract_y
_atom_site_fract_z
_atom_site_occupancy
Ca1 Ca 0.0000 0.0000 0.0000 1
Cd1 Cd 0.5581 0.2288 0.6550 1
Cd2 Cd 0.4419 0.7712 0.3450 1
Cd3 Cd 0.7074 0.6766 0.9086 1
Cd4 Cd 0.2926 0.3234 0.0914 1
Pb1 Pb 0.7855 0.8873 0.5416 1
Pb2 Pb 0.2145 0.1127 0.4584 1
Pb3 Pb 0.0817 0.6419 0.1948 1
Pb4 Pb 0.9183 0.3581 0.8052 1
Pb5 Pb 0.3436 0.5855 0.7273 1
Pb6 Pb 0.5000 0.0000 0.0000 1
Pb7 Pb 0.6564 0.4145 0.2727 1
# energy of formation = 49 meV per atom
# electronic total energy = -2.586 eV per atom



Number 9 is which compound? Ba2OsSeCl